Compound: Dy3Y4Sb4
Source: the Alexandria database
Functional: GGA-PBE
Structure: relaxed

Calculated values
formation energy without anion corrections	-781	meV per atom
V	29.10	A^3/atom
space group	Immm (71)

abc: 9.970 9.970 9.970
angles: 156.58 125.20 60.39
Sites, in units of the cell vectors:
Dy  0.000  0.000  0.000
Dy  0.400  0.900  0.500
Dy  0.600  0.100  0.500
Y  0.015  0.331  0.684
Y  0.353  0.669  0.684
Y  0.647  0.331  0.316
Y  0.985  0.669  0.316
Sb  0.264  0.264  0.000
Sb  0.293  0.500  0.793
Sb  0.707  0.500  0.207
Sb  0.736  0.736  0.000